A geometry-optimized Ta2GeTeO structure. Source: the Alexandria database, functional GGA-PBE.

Lattice parameters (Å, degrees): 4.206 5.099 4.206 90.00 90.00 90.00
Sites, in units of the cell vectors:
O1 0.000 0.000 0.000
Ge1 0.000 0.500 0.000
Ta1 0.000 0.000 0.500
Ta2 0.500 0.000 0.000
Te1 0.500 0.500 0.500

Calculated values
Uncorrected formation energy, eV/atom: -0.015



A geometry-optimized KCdAu4 structure. Source: the Alexandria database, functional GGA-PBE.

Lattice parameters (Å, degrees): 5.692 5.692 5.692 60.00 60.00 60.00
Sites, in units of the cell vectors:
Au1 0.126 0.625 0.625
Au2 0.625 0.126 0.625
Cd1 0.250 0.250 0.250
Au3 0.625 0.625 0.625
K1 0.000 0.000 0.000
Au4 0.625 0.625 0.126



A geometry-optimized Pm2Tl3GeSe6 structure. Source: the Alexandria database, functional GGA-PBE.

Lattice parameters (Å, degrees): 4.221 8.996 9.975 107.62 102.21 90.00
Sites, in units of the cell vectors:
Tl1 0.500 0.500 0.000
Se1 0.324 0.433 0.648
Se2 0.005 0.217 0.009
Pm1 0.164 0.333 0.327
Se3 0.651 0.100 0.302
Ge1 0.500 0.000 0.000
Tl2 0.169 0.842 0.337
Se4 0.349 0.900 0.698
Tl3 0.831 0.158 0.663
Se5 0.995 0.783 0.991
Se6 0.676 0.567 0.352
Pm2 0.836 0.667 0.673

Calculated values
Uncorrected formation energy, eV/atom: -0.974



A geometry-optimized LiAl2As structure. Source: the Alexandria database, functional GGA-PBE.

Lattice parameters (Å, degrees): 5.186 2.998 4.502 89.96 90.00 90.00
Sites, in units of the cell vectors:
Li1 0.500 0.750 0.750
As1 0.500 0.250 0.250
Al1 0.000 0.482 0.496
Al2 0.000 0.018 0.004



A geometry-optimized Tm4ThSc3 structure. Source: the Alexandria database, functional GGA-PBE.

Lattice parameters (Å, degrees): 3.336 9.709 8.485 90.39 101.42 59.02
Sites, in units of the cell vectors:
Tm1 0.379 0.877 0.390
Tm2 0.648 0.609 0.123
Tm3 0.352 0.391 0.877
Sc1 0.740 0.260 0.260
Sc2 0.000 0.500 0.500
Sc3 0.260 0.740 0.740
Tm4 0.621 0.123 0.610
Th1 0.500 0.000 0.000

Calculated values
Energy relative to the lowest polymorph listed for this composition, eV per formula unit: 0.815



A geometry-optimized PrGdCuPt structure. Source: the Alexandria database, functional GGA-PBE.

Lattice parameters (Å, degrees): 5.056 5.056 5.056 60.00 60.00 60.00
Site moments in Bohr magnetons follow the coordinates.
Sites, in units of the cell vectors:
Gd1 0.500 0.500 0.500  7.02
Pt1 0.750 0.750 0.750  -0.01
Cu1 0.250 0.250 0.250  0.00
Pr1 0.000 0.000 0.000  0.01



A geometry-optimized Ca2LaPmTl4 structure. Source: the Alexandria database, functional GGA-PBE.

Lattice parameters (Å, degrees): 5.534 5.534 9.596 73.24 73.24 60.00
Sites, in units of the cell vectors:
Ca1 0.250 0.250 0.251
Ca2 0.750 0.750 0.749
Tl1 0.623 0.623 0.130
Tl2 0.874 0.874 0.378
Pm1 0.500 0.500 0.500
La1 0.000 0.000 0.000
Tl3 0.126 0.126 0.622
Tl4 0.377 0.377 0.870



A geometry-optimized KTi4 structure. Source: the Alexandria database, functional GGA-PBE.

Lattice parameters (Å, degrees): 4.519 4.519 4.519 90.00 90.00 90.00
Sites, in units of the cell vectors:
Ti1 0.000 0.500 0.500
Ti2 0.000 0.000 0.000
Ti3 0.500 0.000 0.500
K1 0.500 0.500 0.500
Ti4 0.500 0.500 0.000



A geometry-optimized Pr3YSc2Se6 structure. Source: the Alexandria database, functional GGA-PBE.

Lattice parameters (Å, degrees): 7.028 7.028 7.278 99.27 99.27 120.19
Sites, in units of the cell vectors:
Se1 0.582 0.925 0.776
Pr1 0.162 0.838 0.500
Sc1 0.334 0.666 0.000
Pr2 0.500 0.500 0.500
Se2 0.075 0.418 0.224
Se3 0.925 0.582 0.776
Y1 0.000 0.000 0.000
Pr3 0.838 0.162 0.500
Se4 0.270 0.270 0.780
Se5 0.730 0.730 0.220
Sc2 0.666 0.334 0.000
Se6 0.418 0.075 0.224

Calculated values
Uncorrected formation energy, eV/atom: -1.738



A geometry-optimized Tm2MgRu structure. Source: the Alexandria database, functional GGA-PBE.

Lattice parameters (Å, degrees): 3.399 3.399 8.011 90.00 90.00 90.00
Sites, in units of the cell vectors:
Mg1 0.500 0.500 0.500
Ru1 0.500 0.500 0.000
Tm1 0.000 0.000 0.202
Tm2 0.000 0.000 0.798

Calculated values
Energy relative to the lowest polymorph listed for this composition, eV per formula unit: 0.000



A geometry-optimized Mg2CuSe2 structure. Source: the Alexandria database, functional GGA-PBE.

Lattice parameters (Å, degrees): 7.027 7.027 7.379 61.72 61.72 40.44
Sites, in units of the cell vectors:
Mg1 0.749 0.491 0.473
Mg2 0.509 0.251 0.027
Cu1 0.817 0.183 0.250
Se1 0.982 0.738 0.223
Mg3 0.251 0.509 0.527
Cu2 0.183 0.817 0.750
Se2 0.262 0.018 0.277
Mg4 0.491 0.749 0.973
Se3 0.018 0.262 0.777
Se4 0.738 0.982 0.723

Calculated values
Uncorrected formation energy, eV/atom: -0.566
Energy relative to the lowest polymorph listed for this composition, eV per formula unit: 0.652



A geometry-optimized HfSnMo3 structure. Source: the Alexandria database, functional GGA-PBE.

Lattice parameters (Å, degrees): 4.860 4.860 4.860 90.00 90.00 90.00
Sites, in units of the cell vectors:
Mo1 0.500 0.000 0.000
Mo2 0.000 0.000 0.500
Hf1 0.500 0.500 0.500
Mo3 0.000 0.500 0.000
Sn1 0.000 0.000 0.000

Calculated values
Energy relative to the lowest polymorph listed for this composition, eV per formula unit: 0.296



no.,electronic total energy (eV per cell),spin magnetization (μB/cell)
1,-36.50,0.00
2,-16.26,0.00
3,-53.81,0.00
4,-14.49,0.00
5,-43.19,0.00
6,-31.61,7.16
7,-26.47,0.00
8,-23.36,0.00
9,-75.23,0.00
10,-21.21,0.00
11,-34.16,0.00
12,-37.24,0.00